Record 1
DFT (PBE) results for a relaxed structure of MnAsCl.

abc: 7.099 7.099 7.099
angles: 155.47 155.47 34.96
Each line ends with the local moment (μB).
Fractional positions:
As 0.045 0.045 0.000  -0.20
Cl 0.285 0.285 0.000  0.07
Mn 0.671 0.671 0.000  3.60

## Properties
Uncorrected formation energy   -156 meV/atom
Energy relative to the lowest polymorph listed for this composition   0.83 eV/f.u.
Calculated total energy   -16.132 eV for the cell shown

Record 2
DFT (PBE) results for a relaxed structure of MnAs2Cl.

abc: 3.681 3.681 7.670
angles: 103.83 103.83 59.83
Each line ends with the local moment (μB).
Fractional positions:
As 0.138 0.138 0.916  -0.11
Mn 0.750 0.750 0.750  2.60
As 0.362 0.362 0.584  -0.11
Cl 0.250 0.250 0.250  -0.03

## Properties
Uncorrected formation energy   -127 meV/atom
Energy relative to the lowest polymorph listed for this composition   0.37 eV/f.u.
Calculated total energy   -20.824 eV for the cell shown

Record 3
DFT (PBE) results for a relaxed structure of MnAs2Cl.

abc: 8.998 8.998 8.998
angles: 22.97 22.97 22.97
Each line ends with the local moment (μB).
Fractional positions:
As 0.008 0.008 0.008  -0.04
Mn 0.745 0.745 0.745  4.04
As 0.284 0.284 0.284  0.07
Cl 0.464 0.464 0.464  0.09

## Properties
Uncorrected formation energy   -170 meV/atom
Energy relative to the lowest polymorph listed for this composition   0.20 eV/f.u.
Calculated total energy   -20.996 eV for the cell shown

Record 4
DFT (PBE) results for a relaxed structure of MnAs2Cl.

abc: 6.462 6.462 6.462
angles: 152.70 140.45 48.72
Each line ends with the local moment (μB).
Fractional positions:
As 0.043 0.043 0.000  -0.03
As 0.457 0.457 0.000  -0.03
Cl 0.750 0.250 0.500  0.07
Mn 0.250 0.750 0.500  4.04

## Properties
Uncorrected formation energy   70 meV/atom
Energy relative to the lowest polymorph listed for this composition   1.16 eV/f.u.
Calculated total energy   -20.036 eV for the cell shown

Record 5
DFT (PBE) results for a relaxed structure of MnAs2Cl.

abc: 6.232 3.662 3.662
angles: 90.00 90.00 90.00
Each line ends with the local moment (μB).
Fractional positions:
Cl 0.500 0.500 0.000  0.05
As 0.000 0.500 0.500  -0.02
Mn 0.500 0.000 0.500  4.22
As 0.000 0.000 0.000  -0.02

## Properties
Uncorrected formation energy   144 meV/atom
Energy relative to the lowest polymorph listed for this composition   1.46 eV/f.u.
Calculated total energy   -19.737 eV for the cell shown

Record 6
DFT (PBE) results for a relaxed structure of MnAs2Cl.

abc: 5.970 5.970 2.922
angles: 90.00 90.00 130.73
Each line ends with the local moment (μB).
Fractional positions:
As 0.000 0.000 0.000  -0.06
Cl 0.500 0.000 0.500  0.01
As 0.500 0.500 0.000  -0.06
Mn 0.000 0.500 0.500  3.92

## Properties
Uncorrected formation energy   302 meV/atom
Energy relative to the lowest polymorph listed for this composition   2.09 eV/f.u.
Calculated total energy   -19.109 eV for the cell shown